Record 1
# KNaHgAs

A relaxed structure of KNaHgAs (PBE-GGA, Alexandria).

Geometry as POSCAR:
```
KNaHgAs
1.0
5.324 0.000 0.000
2.662 4.611 0.000
2.662 1.537 4.347
As Na Hg K
1 1 1 1
Cartesian
7.986 4.611 3.260 As
0.000 0.000 0.000 Na
5.324 3.074 2.174 Hg
2.662 1.537 1.087 K
```

Computed properties:
As for the symmetry: No. 216. For the density of states at the Fermi level, the calculation gives 0.82 states/eV/atom. The formation energy from the elements comes out at -0.1822 eV/atom.

Record 2
# Sm2TlGeO6

A relaxed structure of Sm2TlGeO6 (PBE-GGA, Alexandria).

Geometry as POSCAR:
```
Sm2TlGeO6
1.0
-3.210 -3.925 1.604
2.353 -3.369 -3.536
3.625 -1.424 3.770
O Sm Tl Ge
6 2 1 1
Cartesian
0.951 -4.784 3.294 O
2.230 -6.615 1.372 O
-0.872 -1.067 0.436 O
2.672 -2.785 0.276 O
-1.020 -4.010 1.245 O
0.259 -5.841 -0.677 O
-1.990 -5.557 -0.185 Sm
-1.354 -4.585 3.467 Sm
1.314 -4.445 0.954 Tl
-1.955 -2.391 0.977 Ge
```

Computed properties:
As for the symmetry: No. 99. For the density of states at the Fermi level, the calculation gives 0.23 states/eV/atom. The calculation puts the uncorrected formation energy at -205.7 kJ/mol of atoms.

Record 3
# MgTi2

A relaxed structure of MgTi2 (PBE-GGA, Alexandria).

Geometry as POSCAR:
```
MgTi2
1.0
-7.369 2.363 -0.372
5.961 -4.770 1.321
0.297 1.657 4.639
Ti Mg
4 2
Cartesian
3.214 -1.938 4.424 Ti
-1.347 0.503 3.844 Ti
-4.325 1.188 1.165 Ti
0.236 -1.252 1.745 Ti
4.591 -3.582 2.298 Mg
-5.701 2.833 3.291 Mg
```

Computed properties:
As for the symmetry: No. 63. For the density of states at the Fermi level, the calculation gives 1.42 states/eV/atom. The formation energy from the elements comes out at 0.1729 eV/atom.

Record 4
# YIn2H4

A relaxed structure of YIn2H4 (PBE-GGA, Alexandria).

Geometry as POSCAR:
```
YIn2H4
1.0
-1.404 2.284 -3.185
-2.285 -3.226 -1.306
-6.479 1.432 1.162
Y H In
1 4 2
Cartesian
0.000 0.000 0.000 Y
-0.702 1.142 -1.593 H
-5.402 -0.239 -3.232 H
-1.143 -1.613 -0.653 H
-4.766 0.729 -0.097 H
-3.215 0.092 -1.238 In
-6.954 0.399 -2.091 In
```

Computed properties:
As for the symmetry: No. 139. For the density of states at the Fermi level, the calculation gives 0.20 states/eV/atom.

For the records above, the corresponding total DFT energy (no corrections) values read -2.024; -6.750; -5.622; -3.590 eV per atom.